A relaxed structure of Na2HgWO. Source: the Alexandria database, functional GGA+U.

Output
total DFT energy (no corrections) = -0.1152 Ha/atom
DOS(E_F) = 2.9 states/eV/f.u.
V = 153.0 Å³/f.u.

Cell: 6.2861 6.2861 3.8709 Å, 90.00 90.00 90.00°
Closest atoms and distances in Å follow each position.
Positions (direct):
Na (0.0000, 0.5000, 0.0000)  2 W 3.14
Na (0.5000, 0.0000, 0.0000)  2 W 3.14
Hg (0.0000, 0.0000, 0.5000)  8 Na 3.69, 2 Hg 3.87
W (0.5000, 0.5000, 0.0000)  2 O 1.94
O (0.5000, 0.5000, 0.5000)  2 W 1.94